Below is a geometry-optimized AcPr2Si structure, with properties calculated at the PBE level.

The volume comes out at 120.3 Å³/cell. The calculation puts the raw total energy at -19.8 eV per cell. The calculated density comes out at 7.4 Mg/m³. Its uncorrected formation energy is -0.168 eV/atom. The value obtained for the density of states at the Fermi level is 1.064 states/eV/atom. As for the energy above the most stable polymorph in this dataset: 44.4 meV/atom.

The space group is P4/mmm (No. 123) and the conventional cell measures 4.9383, 4.9383 and 4.9335 Å, with angles of 90.00, 90.00 and 90.00 degrees. Symmetry generates all atoms from Ac at (0.0000, 0.0000, 0.0000), Pr at (0.0000, 0.5000, 0.5000) and Si at (0.5000, 0.5000, 0.0000).